Na2HoMnS4 | PBE-GGA | relaxed

The structure in POSCAR format:
```
Na2HoMnS4
1.0
3.841 0.000 0.000
0.000 6.495 0.106
0.000 -2.279 6.623
S Mn Ho Na
4 1 1 2
Cartesian
1.920 2.982 5.271
1.920 1.234 1.458
0.000 4.201 1.496
0.000 0.015 5.234
1.920 3.248 0.053
0.000 0.000 0.000
1.920 -1.140 3.312
0.000 2.108 3.365
```

Calculated values
Energy relative to the elements, uncorrected, meV per atom: -1280
SG: No. 10
Volume, Å³/atom: 20.8
Magnetic moment, μB/cell: 4.00


Na3Ho3MnSe8 | PBE-GGA | relaxed

The structure in POSCAR format:
```
Na3Ho3MnSe8
1.0
8.054 0.000 0.000
-4.027 6.974 -0.027
0.000 -4.624 7.110
Se Ho Na Mn
8 3 3 1
Cartesian
4.027 0.019 5.175
0.000 -0.202 5.043
4.027 2.551 2.040
6.232 -1.266 2.055
1.823 -1.266 2.055
-2.205 3.616 5.028
2.204 3.615 5.028
0.000 2.331 1.909
-2.014 1.175 3.542
4.027 -2.312 3.555
2.013 1.175 3.542
-2.014 3.487 -0.013
0.000 0.000 0.000
2.013 3.487 -0.013
0.000 -2.312 3.555
```

Calculated values
Energy relative to the elements, uncorrected, meV per atom: -1395
SG: No. 166
Volume, Å³/atom: 26.6
Magnetic moment, μB/cell: 2.99